Entry from the Alexandria database: crystalline LaY7In4 at its relaxed geometry (PBE-GGA).

Summary:
- electronic total energy (eV/atom) = -5.236
- space-group type = C2/m
- formation enthalpy at 0 K (eV per atom) = -0.142

abc: 5.6690 9.4041 7.7665
angles: 76.64 68.59 72.46
Element x y z (fractional)
1 Y 0.9373 0.3917 0.7338
2 Y 0.2924 0.6451 0.7700
3 Y 0.5000 0.0000 0.0000
4 Y 0.7076 0.3549 0.2300
5 Y 0.7869 0.8763 0.5499
6 Y 0.2131 0.1237 0.4501
7 Y 0.0627 0.6083 0.2662
8 In 0.5631 0.2334 0.6403
9 In 0.4369 0.7666 0.3597
10 In 0.6825 0.6689 0.9662
11 In 0.3175 0.3311 0.0338
12 La 0.0000 0.0000 0.0000


Entry from the Alexandria database: crystalline K4NaPu3O8 at its relaxed geometry (PBE-GGA).

Summary:
- electronic total energy (eV/atom) = -7.850
- raw formation energy (eV/f.u.) = -37.227
- space-group type = R-3m

abc: 7.0670 7.4395 7.0672
angles: 118.36 120.00 90.00
Site moments in Bohr magnetons follow the coordinates.
Element x y z (fractional)
1 O 0.3018 0.3164 0.0591  -0.10
2 O 0.2685 0.3056 0.5370  -0.09
3 O 0.6982 0.6836 0.9409  -0.10
4 O 0.2428 0.6836 0.4855  -0.10
5 O 0.7572 0.3164 0.5145  -0.10
6 O 0.7315 0.6944 0.4630  -0.09
7 O 0.2427 0.6836 0.9409  -0.10
8 O 0.7573 0.3164 0.0591  -0.10
9 Pu 0.5000 0.5000 0.0000  4.51
10 Pu 0.0000 0.5000 0.5000  4.51
11 Pu 0.5000 0.5000 0.5000  4.51
12 K 0.0000 0.0000 0.5000  0.01
13 K 0.5000 0.0000 0.0000  0.01
14 K 0.0000 0.0000 0.0000  0.01
15 K 0.5000 0.0000 0.5000  0.01
16 Na 0.0000 0.5000 0.0000  0.00


Taking the records one at a time from the top gives M_tot values of 0.001 13.000 μB/f.u..